Record 1
A plane-wave DFT calculation with GGA-PBE was carried out for BeNiIr2 after structural relaxation.

Output
total moment: 0.00 μB per formula unit
raw total energy: -6.72 eV/atom
energy relative to the elements: 0.091 eV per atom
D(E_F): 12.1 states/eV per cell

Structure (CIF):
```
data_BeNiIr2
_space_group_name_H-M_alt 'C m m 2'
_space_group_IT_number 35
_cell_length_a 2.705
_cell_length_b 4.564
_cell_length_c 8.196
_cell_angle_alpha 90.00
_cell_angle_beta 90.00
_cell_angle_gamma 90.00
loop_
_space_group_symop_operation_xyz
'x,y,z'
'-x,-y,z'
'-x,y,z'
'x,-y,z'
'x+1/2,y+1/2,z'
'-x+1/2,-y+1/2,z'
'-x+1/2,y+1/2,z'
'x+1/2,-y+1/2,z'
loop_
_atom_site_label
_atom_site_fract_x
_atom_site_fract_y
_atom_site_fract_z
Be1 0.000 0.000 0.000
Ni1 0.000 0.500 0.212
Ir1 0.000 0.000 0.478
Ir2 0.000 0.500 0.772
```

Record 2
A plane-wave DFT calculation with GGA-PBE was carried out for LiLaCd2Co after structural relaxation.

Output
total moment: 0.00 μB per formula unit
raw total energy: -3.19 eV/atom
energy relative to the elements: -0.039 eV per atom
D(E_F): 4.2 states/eV per cell

Structure (CIF):
```
data_LiLaCd2Co
_space_group_name_H-M_alt 'P 4/m m m'
_space_group_IT_number 123
_space_group_name_Hall '-P 4 2'
_cell_length_a 5.183
_cell_length_b 5.183
_cell_length_c 4.847
_cell_angle_alpha 90.00
_cell_angle_beta 90.00
_cell_angle_gamma 90.00
loop_
_atom_site_label
_atom_site_fract_x
_atom_site_fract_y
_atom_site_fract_z
Li1 0.000 0.000 0.000
La1 0.500 0.500 0.000
Cd1 0.000 0.500 0.500
Co1 0.500 0.500 0.500
```

Record 3
A plane-wave DFT calculation with GGA-PBE was carried out for Na2SrCaTi after structural relaxation.

Output
total moment: 0.00 μB per formula unit
raw total energy: -1.77 eV/atom
energy relative to the elements: 1.073 eV per atom
D(E_F): 6.2 states/eV per cell

Structure (CIF):
```
data_Na2SrCaTi
_space_group_name_H-M_alt 'P 4/m m m'
_space_group_IT_number 123
_space_group_name_Hall '-P 4 2'
_cell_length_a 5.877
_cell_length_b 5.877
_cell_length_c 5.526
_cell_angle_alpha 90.00
_cell_angle_beta 90.00
_cell_angle_gamma 90.00
loop_
_atom_site_label
_atom_site_fract_x
_atom_site_fract_y
_atom_site_fract_z
Na1 0.000 0.500 0.000
Sr1 0.000 0.000 0.000
Ca1 0.500 0.500 0.500
Ti1 0.000 0.000 0.500
```

Record 4
A plane-wave DFT calculation with GGA-PBE was carried out for Tm2Ni3Rh after structural relaxation.

Output
total moment: 0.00 μB per formula unit
raw total energy: -6.19 eV/atom
energy relative to the elements: -0.588 eV per atom
D(E_F): 18.2 states/eV per cell

Structure (CIF):
```
data_Tm2Ni3Rh
_space_group_name_H-M_alt 'R -3 m'
_space_group_IT_number 166
_space_group_name_Hall '-R 3 2"'
_cell_length_a 5.0122
_cell_length_b 5.0122
_cell_length_c 12.9459
_cell_angle_alpha 90.00
_cell_angle_beta 90.00
_cell_angle_gamma 120.00
loop_
_atom_site_label
_atom_site_fract_x
_atom_site_fract_y
_atom_site_fract_z
Tm1 0.0000 0.0000 0.1223
Ni1 0.0000 0.5000 0.0000
Rh1 0.0000 0.0000 0.5000
```

Record 5
A plane-wave DFT calculation with GGA-PBE was carried out for Ga2HgBi after structural relaxation.

Output
total moment: 0.00 μB per formula unit
excess energy over the best structure of this formula in the dataset: 117.4 meV/atom
raw total energy: -2.39 eV/atom
energy relative to the elements: 0.171 eV per atom
D(E_F): 4.1 states/eV per cell

Structure (CIF):
```
data_Ga2HgBi
_space_group_name_H-M_alt 'R -3 m'
_space_group_IT_number 166
_space_group_name_Hall '-R 3 2"'
_cell_length_a 4.4273
_cell_length_b 4.4273
_cell_length_c 24.9828
_cell_angle_alpha 90.00
_cell_angle_beta 90.00
_cell_angle_gamma 120.00
loop_
_atom_site_label
_atom_site_fract_x
_atom_site_fract_y
_atom_site_fract_z
Ga1 0.0000 0.0000 0.1093
Hg1 0.0000 0.0000 0.0000
Bi1 0.0000 0.0000 0.5000
```

Record 6
A plane-wave DFT calculation with GGA-PBE was carried out for CeLuAgPb after structural relaxation.

Output
total moment: 1.81 μB per formula unit
raw total energy: -4.53 eV/atom
energy relative to the elements: -0.277 eV per atom
D(E_F): 41.4 states/eV per cell

Structure (CIF):
```
data_CeLuAgPb
_space_group_name_H-M_alt 'F -4 3 m'
_space_group_IT_number 216
_space_group_name_Hall 'F -4 2 3'
_cell_length_a 7.530
_cell_length_b 7.530
_cell_length_c 7.530
_cell_angle_alpha 90.00
_cell_angle_beta 90.00
_cell_angle_gamma 90.00
loop_
_atom_site_label
_atom_site_fract_x
_atom_site_fract_y
_atom_site_fract_z
Ce1 0.000 0.000 0.000
Lu1 0.000 0.000 0.500
Ag1 0.250 0.250 0.750
Pb1 0.250 0.250 0.250
```